This record from Alexandria describes crystalline In4FeAu at its relaxed geometry. The functional is PBE-GGA.

Geometry as CIF:
```
data_In4FeAu
_space_group_name_H-M_alt 'F -4 3 m'
_space_group_IT_number 216
_space_group_name_Hall 'F -4 2 3'
_cell_length_a 8.369
_cell_length_b 8.369
_cell_length_c 8.369
_cell_angle_alpha 90.00
_cell_angle_beta 90.00
_cell_angle_gamma 90.00
loop_
_atom_site_label
_atom_site_fract_x
_atom_site_fract_y
_atom_site_fract_z
_atom_site_occupancy
In1 0.125 0.125 0.125 1
Fe1 0.000 0.000 0.500 1
Au1 0.250 0.250 0.750 1
```

Properties
Formation enthalpy at 0 K: 0.620 eV/atom
Density of states at the Fermi level: 0.832 states/eV per atom
Raw total energy: -75.9 eV per cell
Total magnetization: 3.0 μB per formula unit